# Zr2FeH2 | the Alexandria database | GGA-PBE | optimized geometry
# final energy	-6.84	eV per atom
data_Zr2FeH2
_chemical_formula_sum 'Zr4 Fe2 H4'
_space_group_name_H-M_alt 'I 4/m m m'
_space_group_IT_number 139
_space_group_name_Hall '-I 4 2'
_cell_length_a 3.154
_cell_length_b 3.154
_cell_length_c 12.059
_cell_angle_alpha 90.00
_cell_angle_beta 90.00
_cell_angle_gamma 90.00
loop_
_atom_site_label
_atom_site_type_symbol
_atom_site_fract_x
_atom_site_fract_y
_atom_site_fract_z
_atom_site_occupancy
Zr1 Zr 0.000 0.000 0.134 1
Fe1 Fe 0.000 0.000 0.500 1
H1 H 0.000 0.500 0.250 1

# Zr2FeH | the Alexandria database | GGA-PBE | optimized geometry
# final energy	-7.23	eV per atom
data_Zr2FeH
_chemical_formula_sum 'Zr6 Fe3 H3'
_space_group_name_H-M_alt 'R -3 m'
_space_group_IT_number 166
_space_group_name_Hall '-R 3 2"'
_cell_length_a 3.3253
_cell_length_b 3.3253
_cell_length_c 18.7322
_cell_angle_alpha 90.00
_cell_angle_beta 90.00
_cell_angle_gamma 120.00
loop_
_atom_site_label
_atom_site_type_symbol
_atom_site_fract_x
_atom_site_fract_y
_atom_site_fract_z
_atom_site_occupancy
Zr1 Zr 0.0000 0.0000 0.2419 1
Fe1 Fe 0.0000 0.0000 0.0000 1
H1 H 0.0000 0.0000 0.5000 1

# ZrFeH3 | the Alexandria database | GGA-PBE | optimized geometry
# final energy	-5.66	eV per atom
data_ZrFeH3
_chemical_formula_sum 'Zr1 Fe1 H3'
_space_group_name_H-M_alt 'P m -3 m'
_space_group_IT_number 221
_space_group_name_Hall '-P 4 2 3'
_cell_length_a 3.383
_cell_length_b 3.383
_cell_length_c 3.383
_cell_angle_alpha 90.00
_cell_angle_beta 90.00
_cell_angle_gamma 90.00
loop_
_atom_site_label
_atom_site_type_symbol
_atom_site_fract_x
_atom_site_fract_y
_atom_site_fract_z
_atom_site_occupancy
Zr1 Zr 0.000 0.000 0.000 1
Fe1 Fe 0.500 0.500 0.500 1
H1 H 0.000 0.500 0.500 1

# HfFe4 | the Alexandria database | GGA-PBE | optimized geometry
# formation enthalpy at 0 K	1700	meV per atom
data_HfFe4
_chemical_formula_sum 'Hf1 Fe4'
_space_group_name_H-M_alt 'P m -3 m'
_space_group_IT_number 221
_space_group_name_Hall '-P 4 2 3'
_cell_length_a 4.499
_cell_length_b 4.499
_cell_length_c 4.499
_cell_angle_alpha 90.00
_cell_angle_beta 90.00
_cell_angle_gamma 90.00
loop_
_atom_site_label
_atom_site_type_symbol
_atom_site_fract_x
_atom_site_fract_y
_atom_site_fract_z
_atom_site_occupancy
Hf1 Hf 0.000 0.000 0.000 1
Fe1 Fe 0.000 0.000 0.500 1
Fe2 Fe 0.500 0.500 0.500 1

# HfFe6 | the Alexandria database | GGA-PBE | optimized geometry
# formation enthalpy at 0 K	788	meV per atom
data_HfFe6
_chemical_formula_sum 'Hf2 Fe12'
_space_group_name_H-M_alt 'I m -3 m'
_space_group_IT_number 229
_space_group_name_Hall '-I 4 2 3'
_cell_length_a 5.910
_cell_length_b 5.910
_cell_length_c 5.910
_cell_angle_alpha 90.00
_cell_angle_beta 90.00
_cell_angle_gamma 90.00
loop_
_atom_site_label
_atom_site_type_symbol
_atom_site_fract_x
_atom_site_fract_y
_atom_site_fract_z
_atom_site_occupancy
Hf1 Hf 0.000 0.000 0.000 1
Fe1 Fe 0.000 0.250 0.500 1

# Hf5Fe3 | the Alexandria database | GGA-PBE | optimized geometry
# formation enthalpy at 0 K	-181	meV per atom
data_Hf5Fe3
_chemical_formula_sum 'Hf5 Fe3'
_space_group_name_H-M_alt 'P 4/m m m'
_space_group_IT_number 123
_space_group_name_Hall '-P 4 2'
_cell_length_a 3.166
_cell_length_b 3.166
_cell_length_c 13.585
_cell_angle_alpha 90.00
_cell_angle_beta 90.00
_cell_angle_gamma 90.00
loop_
_atom_site_label
_atom_site_type_symbol
_atom_site_fract_x
_atom_site_fract_y
_atom_site_fract_z
_atom_site_occupancy
Hf1 Hf 0.000 0.000 0.000 1
Hf2 Hf 0.000 0.000 0.230 1
Hf3 Hf 0.500 0.500 0.385 1
Fe1 Fe 0.000 0.000 0.500 1
Fe2 Fe 0.500 0.500 0.114 1